NaZrIrPb: relaxed, PBE.

```
NaZrIrPb
1.0
0.000 3.443 3.443
3.443 0.000 3.443
3.443 3.443 0.000
Ir Na Pb Zr
1 1 1 1
direct
0.000 0.000 0.000 Ir
0.750 0.750 0.750 Na
0.500 0.500 0.500 Pb
0.250 0.250 0.250 Zr
```

Properties
Energy relative to the lowest polymorph listed for this composition, eV/f.u.: 0.85
Theoretical density, g/cm³: 10.44
Magnetization, μB per cell: 0.01

=====

Tb3Cd3Ag2Au: relaxed, PBE.

```
Tb3Cd3Ag2Au
1.0
-6.418 -3.161 3.194
5.033 -4.511 -3.962
2.007 -0.697 3.342
Ag Au Cd Tb
2 1 3 3
direct
0.667 0.333 0.500 Ag
0.333 0.667 0.500 Ag
0.000 0.000 0.000 Au
0.735 0.000 0.500 Cd
0.265 0.265 0.500 Cd
0.000 0.735 0.500 Cd
0.399 0.000 0.000 Tb
0.000 0.399 0.000 Tb
0.601 0.601 0.000 Tb
```

Properties
Theoretical density, g/cm³: 9.68
Energy, eV/atom: -3.260
Magnetization, μB per cell: 0.01

=====

HoSiMo: relaxed, PBE.

```
HoSiMo
1.0
0.000 3.143 3.143
3.143 0.000 3.143
3.143 3.143 0.000
Ho Mo Si
1 1 1
direct
0.250 0.250 0.250 Ho
0.750 0.750 0.750 Mo
0.000 0.000 0.000 Si
```

Properties
Theoretical density, g/cm³: 7.73
Energy, eV/atom: -6.927
Magnetization, μB per cell: 0.20

=====

Ag2Sn2O5: relaxed, PBE.

```
Ag2Sn2O5
1.0
8.605 0.000 0.000
0.000 3.806 0.000
0.000 0.000 3.806
Ag O Sn
2 5 2
direct
0.249 0.500 0.500 Ag
0.751 0.500 0.500 Ag
0.138 0.500 0.000 O
0.862 0.500 0.000 O
0.138 0.000 0.500 O
0.862 0.000 0.500 O
0.500 0.500 0.500 O
0.000 0.000 0.000 Sn
0.500 0.000 0.000 Sn
```

Properties
Energy relative to the lowest polymorph listed for this composition, eV/f.u.: 3.75
Theoretical density, g/cm³: 7.10

=====

Dy2Y2CI2Br2Cl: relaxed, PBE.

```
Dy2Y2CI2Br2Cl
1.0
-2.107 4.429 -8.157
-5.533 4.343 -6.412
2.177 6.230 4.580
Br C Cl Dy I Y
2 1 1 2 2 2
direct
0.836 0.836 0.180 Br
0.164 0.164 0.820 Br
0.500 0.500 0.000 C
0.500 0.500 0.500 Cl
0.998 0.998 0.205 Dy
0.002 0.002 0.795 Dy
0.164 0.164 0.355 I
0.836 0.836 0.645 I
0.631 0.631 0.060 Y
0.369 0.369 0.940 Y
```

Properties
Energy relative to the lowest polymorph listed for this composition, eV/f.u.: 0.13
Theoretical density, g/cm³: 5.66
Magnetization, μB per cell: 0.01

=====

SrReNO: relaxed, PBE.

```
SrReNO
1.0
3.843 0.000 0.000
0.000 5.328 0.000
0.000 0.000 5.480
N O Re Sr
2 2 2 2
direct
0.000 0.001 0.326 N
0.000 0.501 0.674 N
0.500 0.251 0.000 O
0.500 0.751 0.000 O
0.500 0.001 0.304 Re
0.500 0.501 0.696 Re
0.000 0.501 0.202 Sr
0.000 0.001 0.798 Sr
```

Properties
Energy relative to the lowest polymorph listed for this composition, eV/f.u.: 0.38
Theoretical density, g/cm³: 8.99
Magnetization, μB per cell: 0.04

=====

NaCu3ReS4: relaxed, PBE.

```
NaCu3ReS4
1.0
5.653 0.000 0.000
0.000 5.653 0.000
0.000 0.000 5.653
Cu Na Re S
3 1 1 4
direct
0.500 0.500 0.000 Cu
0.500 0.000 0.500 Cu
0.000 0.500 0.500 Cu
0.000 0.000 0.000 Na
0.500 0.500 0.500 Re
0.266 0.266 0.266 S
0.734 0.734 0.266 S
0.734 0.266 0.734 S
0.266 0.734 0.734 S
```

Properties
Theoretical density, g/cm³: 4.85
Energy, eV/atom: -4.785
Magnetization, μB per cell: 2.73

=====

Gd2SiO4: relaxed, PBE.

```
Gd2SiO4
1.0
6.612 0.000 0.000
0.000 5.452 0.000
0.000 0.000 9.997
Gd O Si
8 16 4
direct
0.112 0.250 0.048 Gd
0.469 0.750 0.188 Gd
0.969 0.750 0.312 Gd
0.612 0.250 0.452 Gd
0.388 0.750 0.548 Gd
0.031 0.250 0.688 Gd
0.531 0.250 0.812 Gd
0.888 0.750 0.952 Gd
0.464 0.250 0.055 O
0.153 0.750 0.118 O
0.806 0.004 0.130 O
0.806 0.496 0.130 O
0.306 0.004 0.370 O
0.306 0.496 0.370 O
0.653 0.750 0.382 O
0.964 0.250 0.445 O
0.036 0.750 0.555 O
0.347 0.250 0.618 O
0.694 0.504 0.630 O
0.694 0.996 0.630 O
0.194 0.504 0.870 O
0.194 0.996 0.870 O
0.847 0.250 0.882 O
0.536 0.750 0.945 O
0.660 0.250 0.164 Si
0.160 0.250 0.336 Si
0.840 0.750 0.664 Si
0.340 0.750 0.836 Si
```

Properties
Theoretical density, g/cm³: 7.49
Energy, eV/atom: -7.830
Magnetization, μB per cell: 0.00

=====

Which of these has the highest theoretical density? NaZrIrPb